(1)
{"formula": "TcPt2Au", "functional": "GGA-PBEsol", "state": "relaxed", "lattice": [[4.767, 0.000, 0.000], [0.000, 4.767, 0.000], [0.000, 0.000, 2.724]], "species": ["Tc", "Pt", "Pt", "Au"], "fractional_positions": [[0.000, 0.000, 0.000], [0.000, 0.500, 0.500], [0.500, 0.000, 0.500], [0.500, 0.500, 0.000]], "sg": "P4/mmm", "vol_a3_per_atom": 15.479, "ef_ev_per_atom": 0.24, "de_polymorph_mev_per_atom": 367, "crystal_system": "tetragonal"}

***

(2)
{"formula": "TcPt2Au", "functional": "GGA-PBEsol", "state": "relaxed", "lattice": [[2.752, 0.000, 0.000], [0.000, 2.752, 0.000], [0.000, 0.000, 7.980]], "species": ["Tc", "Pt", "Pt", "Au"], "fractional_positions": [[0.000, 0.000, 0.000], [0.500, 0.500, 0.231], [0.500, 0.500, 0.769], [0.000, 0.000, 0.500]], "sg": "P4/mmm", "vol_a3_per_atom": 15.109, "ef_ev_per_atom": -0.13, "de_polymorph_mev_per_atom": 0, "crystal_system": "tetragonal"}

***

(3)
{"formula": "TePtAu2", "functional": "GGA-PBEsol", "state": "relaxed", "lattice": [[0.000, 2.826, 4.946], [2.742, 0.000, 4.946], [2.742, 2.826, 0.000]], "species": ["Te", "Pt", "Au", "Au"], "fractional_positions": [[0.000, 0.000, 0.000], [0.500, 0.500, 0.500], [0.000, 0.500, 0.500], [0.500, 0.000, 0.000]], "sg": "Fmmm", "vol_a3_per_atom": 19.164, "crystal_system": "orthorhombic", "e_tot_ev_per_atom": -4.493}